The following is a PBE calculation of a relaxed Fe2BS crystal, from the Alexandria database.

Summary:
The calculation puts the relative energy among the computed polymorphs at 56 meV per atom.

Cell: 5.4317 3.0397 5.6116 Å, 90.00 110.51 90.00°
With the nearest neighbours (Å) after each atom.
Positions (direct):
B (0.8353, 0.5000, 0.1938)  2 B 1.77
Fe (0.8264, 0.5000, 0.8356)  3 B 1.99-2.11, 2 S 2.19
S (0.0946, 0.0000, 0.7849)  5 Fe 2.12-2.31
S (0.4298, 0.5000, 0.4159)  6 Fe 2.13-2.27
Fe (0.7377, 0.0000, 0.4094)  3 B 2.05-2.12, 2 S 2.27
B (0.7122, 0.0000, 0.0368)  2 B 1.77
Fe (0.1278, 0.0000, 0.1969)  3 B 2.12-2.19, 3 S 2.25-2.26
Fe (0.4347, 0.0000, 0.6825)  1 B 2.03, 3 S 2.12-2.13

***

The following is a PBE calculation of a relaxed Fe2BS crystal, from the Alexandria database.

Summary:
The calculation puts the relative energy among the computed polymorphs at 505 meV per atom.

Cell: 3.7475 3.7475 3.7475 Å, 60.00 60.00 60.00°
With the nearest neighbours (Å) after each atom.
Positions (direct):
B (0.0000, 0.0000, 0.0000)  8 Fe 2.29
Fe (0.2500, 0.2500, 0.2500)  4 S 2.29, 4 B 2.29
S (0.5000, 0.5000, 0.5000)  8 Fe 2.29
Fe (0.7500, 0.7500, 0.7500)  4 S 2.29, 4 B 2.29

***

Formation energy without anion corrections / eV per formula unit: -0.7, 1.1
Energy / eV per atom: -7.104, -6.655